Pm3SiBi: optimized geometry, PBE-GGA.

The structure in POSCAR format:
```
Pm3SiBi
1.0
5.677 0.000 0.000
0.000 10.523 2.867
0.000 -10.523 2.867
Pm Si Bi
6 2 2
direct
0.250 0.070 0.930 Pm
0.250 0.396 0.540 Pm
0.250 0.636 0.037 Pm
0.750 0.037 0.636 Pm
0.750 0.540 0.396 Pm
0.750 0.930 0.070 Pm
0.250 0.902 0.040 Si
0.750 0.040 0.902 Si
0.250 0.690 0.372 Bi
0.750 0.372 0.690 Bi
```

The value obtained for the relative energy among the computed polymorphs is 0.000 eV/atom. Its total moment is 0.72 μB per cell. As for the density of states at the Fermi level: 10.3 states/eV/cell. The calculation puts the raw formation energy at -0.4424 eV/atom.

=====

K2ReSb: optimized geometry, PBE-GGA.

The structure in POSCAR format:
```
K2ReSb
1.0
5.848 0.000 0.000
0.000 11.517 0.000
0.000 0.000 2.954
K Re Sb
4 2 2
direct
0.250 0.250 0.000 K
0.250 0.750 0.000 K
0.750 0.250 0.000 K
0.750 0.750 0.000 K
0.000 0.000 0.500 Re
0.500 0.500 0.500 Re
0.000 0.500 0.500 Sb
0.500 0.000 0.500 Sb
```

Its total moment is 0.00 μB per cell. As for the density of states at the Fermi level: 5.6 states/eV/cell. The calculation puts the raw formation energy at 0.9468 eV/atom.

=====

Ba3Cu2RhO6: optimized geometry, PBE-GGA.

The structure in POSCAR format:
```
Ba3Cu2RhO6
1.0
5.953 0.000 0.000
-2.976 5.155 0.000
0.000 0.000 6.753
Ba Cu Rh O
3 2 1 6
direct
0.000 0.000 0.000 Ba
0.333 0.667 0.648 Ba
0.667 0.333 0.352 Ba
0.333 0.667 0.207 Cu
0.667 0.333 0.793 Cu
0.000 0.000 0.500 Rh
0.162 0.324 0.316 O
0.162 0.838 0.316 O
0.324 0.162 0.684 O
0.676 0.838 0.316 O
0.838 0.162 0.684 O
0.838 0.676 0.684 O
```

Its total moment is 1.05 μB per cell. As for the density of states at the Fermi level: 8.6 states/eV/cell. The calculation puts the raw formation energy at -1.4406 eV/atom.

=====

PrYTm: optimized geometry, PBE-GGA.

The structure in POSCAR format:
```
PrYTm
1.0
4.870 0.000 0.000
0.000 4.870 0.000
0.000 0.000 8.695
Pr Y Tm
2 2 2
direct
0.250 0.250 0.199 Pr
0.750 0.750 0.801 Pr
0.250 0.250 0.799 Y
0.750 0.750 0.201 Y
0.250 0.750 0.500 Tm
0.750 0.250 0.500 Tm
```

The value obtained for the relative energy among the computed polymorphs is 0.188 eV/atom. Its total moment is 0.00 μB per cell. As for the density of states at the Fermi level: 8.5 states/eV/cell. Its calculated formation energy is 0.6 eV per formula unit.

=====

Sc2NbSi: optimized geometry, PBE-GGA.

The structure in POSCAR format:
```
Sc2NbSi
1.0
3.065 0.000 0.000
-1.533 2.655 0.000
0.000 0.000 29.393
Sc Nb Si
6 3 3
direct
0.000 0.000 0.095 Sc
0.000 0.000 0.905 Sc
0.333 0.667 0.572 Sc
0.333 0.667 0.762 Sc
0.667 0.333 0.238 Sc
0.667 0.333 0.428 Sc
0.000 0.000 0.000 Nb
0.333 0.667 0.667 Nb
0.667 0.333 0.333 Nb
0.000 0.000 0.500 Si
0.333 0.667 0.167 Si
0.667 0.333 0.833 Si
```

Its total moment is 2.14 μB per cell. As for the density of states at the Fermi level: 10.4 states/eV/cell. The calculation puts the raw formation energy at 0.1711 eV/atom.

=====

Li2MnI: optimized geometry, PBE-GGA.

The structure in POSCAR format:
```
Li2MnI
1.0
7.704 0.000 0.000
0.000 7.704 0.000
0.000 0.000 6.726
Li Mn I
8 4 4
direct
0.229 0.250 0.125 Li
0.250 0.729 0.375 Li
0.250 0.771 0.875 Li
0.271 0.250 0.625 Li
0.729 0.750 0.625 Li
0.750 0.229 0.875 Li
0.750 0.271 0.375 Li
0.771 0.750 0.125 Li
0.000 0.000 0.500 Mn
0.000 0.500 0.750 Mn
0.500 0.000 0.250 Mn
0.500 0.500 0.000 Mn
0.000 0.000 0.000 I
0.000 0.500 0.250 I
0.500 0.000 0.750 I
0.500 0.500 0.500 I
```

The value obtained for the relative energy among the computed polymorphs is 0.000 eV/atom. Its total moment is 16.04 μB per cell. As for the density of states at the Fermi level: 4.0 states/eV/cell. The calculation puts the raw formation energy at 0.1715 eV/atom.

=====

IrBr: optimized geometry, PBE-GGA.

The structure in POSCAR format:
```
IrBr
1.0
3.658 0.000 0.000
-0.190 6.221 0.000
-1.723 -0.441 8.564
Ir Br
4 4
direct
0.000 0.000 0.000 Ir
0.004 0.417 0.086 Ir
0.536 0.715 0.095 Ir
0.595 0.119 0.195 Ir
0.220 0.098 0.409 Br
0.401 0.799 0.811 Br
0.865 0.576 0.338 Br
0.941 0.311 0.810 Br
```

The value obtained for the relative energy among the computed polymorphs is 0.011 eV/atom. Its total moment is 0.00 μB per cell. As for the density of states at the Fermi level: 7.2 states/eV/cell. The calculation puts the raw formation energy at 0.2776 eV/atom.

=====

BaTm3Ir: optimized geometry, PBE-GGA.

The structure in POSCAR format:
```
BaTm3Ir
1.0
5.491 0.000 0.000
0.000 5.491 0.000
0.000 0.000 5.491
Ba Tm Ir
1 3 1
direct
0.000 0.000 0.000 Ba
0.000 0.500 0.500 Tm
0.500 0.000 0.500 Tm
0.500 0.500 0.000 Tm
0.500 0.500 0.500 Ir
```

Its total moment is 0.00 μB per cell. As for the density of states at the Fermi level: 5.9 states/eV/cell. Its calculated formation energy is -1.8 eV per formula unit.